[1]
VASP calculation (PBE-GGA) on a geometry-optimized ThCN structure.

As for the uncorrected formation energy: -0.57 eV/atom. As for the energy above the most stable polymorph in this dataset: 375 meV/atom. Its total moment is 0.0 μB per formula unit.

It has space group Pmmn (No. 59, origin choice 2), with a = 4.472 Å, b = 4.710 Å, c = 8.661 Å, α = 90.00°, β = 90.00° and γ = 90.00°. The asymmetric unit holds Th at (0.250, 0.250, 0.007), Th at (0.250, 0.750, 0.395), C at (0.250, 0.615, 0.772), N at (0.250, 0.250, 0.486) and N at (0.250, 0.750, 0.103).

=====

[2]
VASP calculation (PBE-GGA) on a geometry-optimized Rb2BaBiBr6 structure.

As for the uncorrected formation energy: -1.38 eV/atom. Its total moment is 1.0 μB per formula unit.

It has space group I4/mmm (No. 139), with a = 8.512 Å, b = 8.512 Å, c = 13.356 Å, α = 90.00°, β = 90.00° and γ = 90.00°. The asymmetric unit holds Rb at (0.000, 0.500, 0.250), Ba at (0.000, 0.000, 0.000), Bi at (0.000, 0.000, 0.500), Br at (0.000, 0.000, 0.236) and Br at (0.238, 0.238, 0.500).

=====

[3]
VASP calculation (PBE-GGA) on a geometry-optimized AcNdSm4Ho2 structure.

The calculation puts the formation energy at 0.036 eV/atom. Its total moment is 0.0 μB per formula unit.

It has space group C2/m (No. 12), with a = 11.562 Å, b = 5.161 Å, c = 10.379 Å, α = 90.00°, β = 116.72° and γ = 90.00°. The asymmetric unit holds Ac at (0.000, 0.000, 0.000), Nd at (0.000, 0.000, 0.500), Sm at (0.248, 0.000, 0.871), Sm at (0.249, 0.500, 0.622) and Ho at (0.001, 0.500, 0.745).

=====

[4]
VASP calculation (PBE-GGA) on a geometry-optimized CaSi3Cl structure.

As for the uncorrected formation energy: 0.63 eV/atom. As for the energy above the most stable polymorph in this dataset: 0 meV/atom. Its total moment is 0.0 μB per formula unit.

It has space group Pm-3m (No. 221), with a = 4.855 Å, b = 4.855 Å, c = 4.855 Å, α = 90.00°, β = 90.00° and γ = 90.00°. The asymmetric unit holds Ca at (0.000, 0.000, 0.000), Si at (0.000, 0.500, 0.500) and Cl at (0.500, 0.500, 0.500).

=====

[5]
VASP calculation (PBE-GGA) on a geometry-optimized Pm8Pr2Nd3 structure.

As for the energy above the most stable polymorph in this dataset: 91 meV/atom. The calculation puts the formation energy at 0.242 eV/atom. Its total moment is 0.0 μB per formula unit.

It has space group C2/m (No. 12), with a = 15.082 Å, b = 9.254 Å, c = 6.941 Å, α = 90.00°, β = 99.26° and γ = 90.00°. The asymmetric unit holds Pm at (0.085, 0.000, 0.374), Pm at (0.114, 0.179, 0.933), Pm at (0.209, 0.500, 0.297), Pr at (0.201, 0.500, 0.785), Nd at (0.000, 0.330, 0.500) and Nd at (0.000, 0.500, 0.000).

=====

[6]
VASP calculation (PBE-GGA) on a geometry-optimized La4ZrMo structure.

The calculation puts the formation energy at 0.915 eV/atom. Its total moment is 0.4 μB per formula unit.

It has space group F-43m (No. 216), with a = 8.941 Å, b = 8.941 Å, c = 8.941 Å, α = 90.00°, β = 90.00° and γ = 90.00°. The asymmetric unit holds La at (0.124, 0.124, 0.124), Zr at (0.000, 0.000, 0.500) and Mo at (0.250, 0.250, 0.750).

=====

[7]
VASP calculation (PBE-GGA) on a geometry-optimized Al3SiPt structure.

As for the uncorrected formation energy: 0.60 eV/atom. As for the energy above the most stable polymorph in this dataset: 488 meV/atom. Its total moment is 0.0 μB per formula unit.

It has space group Pm-3m (No. 221), with a = 4.651 Å, b = 4.651 Å, c = 4.651 Å, α = 90.00°, β = 90.00° and γ = 90.00°. The asymmetric unit holds Al at (0.000, 0.000, 0.500), Si at (0.000, 0.000, 0.000) and Pt at (0.500, 0.500, 0.500).

=====

[8]
VASP calculation (PBE-GGA) on a geometry-optimized SrLiNO2 structure.

As for the uncorrected formation energy: -0.50 eV/atom. Its total moment is 4.0 μB per formula unit.

It has space group P4/mmm (No. 123), with a = 3.984 Å, b = 3.984 Å, c = 3.933 Å, α = 90.00°, β = 90.00° and γ = 90.00°. The asymmetric unit holds Sr at (0.000, 0.000, 0.000), Li at (0.500, 0.500, 0.500), N at (0.500, 0.500, 0.000) and O at (0.000, 0.500, 0.500).

=====

[9]
VASP calculation (PBE-GGA) on a geometry-optimized Zr2ZnSe2 structure.

As for the uncorrected formation energy: -0.79 eV/atom. As for the energy above the most stable polymorph in this dataset: 0 meV/atom. Its total moment is 0.0 μB per formula unit.

It has space group P4/mbm (No. 127), with a = 7.547 Å, b = 7.547 Å, c = 3.515 Å, α = 90.00°, β = 90.00° and γ = 90.00°. The asymmetric unit holds Zr at (0.151, 0.349, 0.000), Zn at (0.000, 0.000, 0.000) and Se at (0.143, 0.643, 0.500).

=====

[10]
VASP calculation (PBE-GGA) on a geometry-optimized TlPbAu structure.

The calculation puts the formation energy at 0.001 eV/atom. Its total moment is 0.0 μB per formula unit.

It has space group P-1 (No. 2), with a = 3.770 Å, b = 4.914 Å, c = 10.126 Å, α = 81.48°, β = 79.42° and γ = 69.10°. The asymmetric unit holds Tl at (0.201, 0.239, 0.401), Pb at (0.028, 0.153, 0.814) and Au at (0.324, 0.287, 0.057).

=====

[11]
VASP calculation (PBE-GGA) on a geometry-optimized P2WCl structure.

As for the uncorrected formation energy: 0.11 eV/atom. As for the energy above the most stable polymorph in this dataset: 243 meV/atom. Its total moment is 0.0 μB per formula unit.

It has space group P4mm (No. 99), with a = 3.111 Å, b = 3.111 Å, c = 7.806 Å, α = 90.00°, β = 90.00° and γ = 90.00°. The asymmetric unit holds P at (0.000, 0.000, 0.000), P at (0.500, 0.500, 0.151), W at (0.000, 0.000, 0.311) and Cl at (0.500, 0.500, 0.535).

=====

[12]
VASP calculation (PBE-GGA) on a geometry-optimized Sc3Si2H structure.

Its total moment is 0.0 μB per formula unit.

It has space group C2/c (No. 15), with a = 10.082 Å, b = 5.516 Å, c = 7.455 Å, α = 90.00°, β = 104.04° and γ = 90.00°. The asymmetric unit holds Sc at (0.000, 0.136, 0.250), Sc at (0.149, 0.375, 0.653), Si at (0.152, 0.137, 0.008) and H at (0.000, 0.484, 0.250).

=====

[13]
VASP calculation (PBE-GGA) on a geometry-optimized TiAuClF2 structure.

As for the uncorrected formation energy: -1.69 eV/atom. Its total moment is 0.9 μB per formula unit.

It has space group P4/mmm (No. 123), with a = 3.911 Å, b = 3.911 Å, c = 5.604 Å, α = 90.00°, β = 90.00° and γ = 90.00°. The asymmetric unit holds Ti at (0.000, 0.000, 0.000), Au at (0.000, 0.000, 0.500), Cl at (0.500, 0.500, 0.500) and F at (0.000, 0.500, 0.000).

=====

[14]
VASP calculation (PBE-GGA) on a geometry-optimized InCuPCl2 structure.

As for the uncorrected formation energy: 0.38 eV/atom. As for the energy above the most stable polymorph in this dataset: 360 meV/atom. Its total moment is 1.2 μB per formula unit.

It has space group P4/mmm (No. 123), with a = 5.109 Å, b = 5.109 Å, c = 5.287 Å, α = 90.00°, β = 90.00° and γ = 90.00°. The asymmetric unit holds In at (0.000, 0.000, 0.000), Cu at (0.500, 0.500, 0.500), P at (0.000, 0.000, 0.500) and Cl at (0.000, 0.500, 0.000).

=====

[15]
VASP calculation (PBE-GGA) on a geometry-optimized CaPm3Pr6Sm2 structure.

The calculation puts the formation energy at 0.026 eV/atom. Its total moment is 0.0 μB per formula unit.

It has space group C2/m (No. 12), with a = 6.414 Å, b = 11.118 Å, c = 12.171 Å, α = 90.00°, β = 100.08° and γ = 90.00°. The asymmetric unit holds Ca at (0.000, 0.000, 0.000), Pm at (0.000, 0.166, 0.500), Pm at (0.000, 0.500, 0.500), Pr at (0.245, 0.330, 0.748), Pr at (0.245, 0.500, 0.252) and Sm at (0.000, 0.333, 0.000).

=====

[16]
VASP calculation (PBE-GGA) on a geometry-optimized WCCl2 structure.

As for the uncorrected formation energy: 1.59 eV/atom. As for the energy above the most stable polymorph in this dataset: 985 meV/atom. Its total moment is 1.2 μB per formula unit.

It has space group R-3m (No. 166, hexagonal axes), with a = 3.0171 Å, b = 3.0171 Å, c = 28.8960 Å, α = 90.00°, β = 90.00° and γ = 120.00°. The asymmetric unit holds W at (0.0000, 0.0000, 0.0000), C at (0.0000, 0.0000, 0.5000) and Cl at (0.0000, 0.0000, 0.3951).

=====

no.,theoretical density (g/cm3),VASP energy (eV/atom)
1,9.4,-8.890
2,3.4,-3.156
3,7.8,-4.577
4,2.3,-3.390
5,6.5,-4.517
6,6.9,-5.600
7,5.0,-3.942
8,3.7,-4.867
9,6.7,-5.860
10,11.8,-3.117
11,6.2,-6.293
12,3.2,-6.183
13,6.2,-5.038
14,3.4,-2.805
15,6.3,-4.505
16,5.8,-4.873